The following is a DFT calculation (GGA+U) of AcMn2B2O7 after structural relaxation.

Unit cell a=5.1182 b=5.1182 c=26.8770 alpha=90.00 beta=90.00 gamma=120.00
With the nearest neighbours (Å) after each atom.
Space group R32 (No. 155, hexagonal axes)
Inequivalent atoms, fractional coordinates:
Ac 0.0000 0.0000 0.0000 (multiplicity 3)  6 O 2.55
Mn 0.0000 0.0000 0.4302 (multiplicity 6)  4 O 1.88-2.06
B 0.0000 0.0000 0.2729 (multiplicity 6)  3 O 1.39
O 0.0000 0.0000 0.5000 (multiplicity 3)  2 Mn 1.88
O 0.0311 0.2849 0.2747 (multiplicity 18)  1 B 1.39

Crystal system: trigonal
Calculated total energy in eV/atom: -7.8937